DFT (PBE+U) results for a relaxed structure of UMn2CuO8.

Total energy: -7.543 eV/atom

a = 6.6327 Å, b = 6.8667 Å, c = 6.0300 Å
α = 90.00°, β = 90.00°, γ = 90.00°
With the nearest neighbours (Å) after each atom.
Space group Cmmm (No. 65)
Unique sites:
1 U 0.0000 0.0000 0.0000  6 O 2.06-2.16
2 Mn 0.0000 0.5000 0.2629  6 O 1.88-2.03
3 Cu 0.0000 0.0000 0.5000  6 O 1.99-2.22
4 O 0.0000 0.3148 0.0000  2 Mn 2.03, 1 U 2.16
5 O 0.0000 0.3230 0.5000  2 Mn 1.88
6 O 0.2029 0.0000 0.2577  1 Mn 1.97, 1 Cu 1.99, 1 U 2.06